## K2ZrAlSi (GGA-PBEsol)

Data for a geometry-optimized K2ZrAlSi structure.

The electronic total energy is -0.1101 Ha/atom. The space-group type is P4/mmm (123). Its formation energy from raw total energies is 6.218 eV per formula unit. The density of states at the Fermi level is 6.92 states/eV/f.u.

a = 4.497 Å, b = 6.375 Å, c = 6.375 Å
α = 90.00°, β = 90.00°, γ = 90.00°
Fractional positions:
K 0.000 0.000 0.500
K 0.000 0.500 0.000
Si 0.500 0.000 0.000
Zr 0.500 0.500 0.500
Al 0.000 0.000 0.000


## LiAl2Ag (GGA-PBEsol)

Data for a geometry-optimized LiAl2Ag structure.

The formation energy comes out at -0.133 eV/atom. The electronic total energy is -0.1285 Ha/atom. The excess energy over the best structure of this formula in the dataset is 13 meV/atom. The space-group type is I4/mmm (139). The density of states at the Fermi level is 1.64 states/eV/f.u.

a = 3.964 Å, b = 3.964 Å, c = 4.860 Å
α = 114.07°, β = 114.07°, γ = 90.00°
Fractional positions:
Al 0.750 0.250 0.500
Al 0.250 0.750 0.500
Ag 0.000 0.000 0.000
Li 0.500 0.500 0.000


> Among the records above, which one has the lowest electronic total energy?

LiAl2Ag


> What is the formula in the first record?

K2ZrAlSi


> Which formula does entry 1 have?

K2ZrAlSi